Entry 1:
HfPaNi2 | GGA-PBE | relaxed

Results
E_form = -0.16 eV per atom
E_tot = -7.91 eV/atom
Volume = 223.3 Å³ per cell

abc: 3.5198 3.5198 20.8130
angles: 90.00 90.00 120.00
Space group R-3m (No. 166, hexagonal axes)
Inequivalent atoms, fractional coordinates:
Hf1 0.0000 0.0000 0.0000 x3
Pa1 0.0000 0.0000 0.5000 x3
Ni1 0.0000 0.0000 0.2495 x6

---

Entry 2:
HfPaNi6 | GGA-PBE | relaxed

Results
E_form = -0.50 eV per atom
E_tot = -7.26 eV/atom
Volume = 109.5 Å³ per cell

abc: 5.2981 5.2981 4.5034
angles: 90.00 90.00 120.00
Space group P-6m2 (No. 187)
Inequivalent atoms, fractional coordinates:
Hf1 0.0000 0.0000 0.0000 x1
Pa1 0.6667 0.3333 0.5000 x1
Ni1 0.0200 0.5100 0.0000 x3
Ni2 0.1720 0.3440 0.5000 x3

---

Entry 3:
HfPaNi14 | GGA-PBE | relaxed

Results
E_form = -0.21 eV per atom
E_tot = -6.48 eV/atom
Volume = 196.0 Å³ per cell

abc: 5.252 5.252 7.106
angles: 90.00 90.00 90.00
Space group P4/mmm (No. 123)
Inequivalent atoms, fractional coordinates:
Hf1 0.000 0.000 0.000 x1
Pa1 0.500 0.500 0.000 x1
Ni1 0.000 0.000 0.500 x1
Ni2 0.000 0.500 0.000 x2
Ni3 0.000 0.500 0.500 x2
Ni4 0.249 0.249 0.266 x8
Ni5 0.500 0.500 0.500 x1